Record 1
# ScSi2Ir, relaxed, DFT GGA-PBE
# * energy relative to the elements, uncorrected: -501 meV/atom
# * N(E_F): 1.42 states/eV per cell
data_ScSi2Ir
_chemical_formula_sum 'Sc1 Si2 Ir1'
_symmetry_space_group_name_H-M 'P 4/m m m'
_symmetry_Int_Tables_number 123
_symmetry_space_group_name_Hall '-P 4 2'
_cell_length_a 2.946
_cell_length_b 2.946
_cell_length_c 7.002
_cell_angle_alpha 90.00
_cell_angle_beta 90.00
_cell_angle_gamma 90.00
loop_
_atom_site_label
_atom_site_fract_x
_atom_site_fract_y
_atom_site_fract_z
_atom_site_occupancy
Sc1 0.000 0.000 0.000 1
Si1 0.500 0.500 0.279 1
Ir1 0.000 0.000 0.500 1

Record 2
# ScSi4Ir2, relaxed, DFT GGA-PBE
# * energy relative to the elements, uncorrected: -755 meV/atom
# * N(E_F): 4.59 states/eV per cell
data_ScSi4Ir2
_chemical_formula_sum 'Sc4 Si16 Ir8'
_symmetry_space_group_name_H-M 'P n m a'
_symmetry_Int_Tables_number 62
_symmetry_space_group_name_Hall '-P 2ac 2n'
_cell_length_a 16.204
_cell_length_b 4.050
_cell_length_c 6.477
_cell_angle_alpha 90.00
_cell_angle_beta 90.00
_cell_angle_gamma 90.00
loop_
_atom_site_label
_atom_site_fract_x
_atom_site_fract_y
_atom_site_fract_z
_atom_site_occupancy
Sc1 0.141 0.250 0.003 1
Si1 0.037 0.750 0.870 1
Si2 0.065 0.250 0.463 1
Si3 0.182 0.750 0.318 1
Si4 0.191 0.750 0.737 1
Ir1 0.033 0.750 0.249 1
Ir2 0.215 0.250 0.532 1

Record 3
# Sc3SiIr, relaxed, DFT GGA-PBE
# * energy relative to the elements, uncorrected: 214 meV/atom
# * energy relative to the lowest polymorph listed for this composition: 340 meV per atom
# * N(E_F): 3.88 states/eV per cell
data_Sc3SiIr
_chemical_formula_sum 'Sc3 Si1 Ir1'
_symmetry_space_group_name_H-M 'P m -3 m'
_symmetry_Int_Tables_number 221
_symmetry_space_group_name_Hall '-P 4 2 3'
_cell_length_a 4.860
_cell_length_b 4.860
_cell_length_c 4.860
_cell_angle_alpha 90.00
_cell_angle_beta 90.00
_cell_angle_gamma 90.00
loop_
_atom_site_label
_atom_site_fract_x
_atom_site_fract_y
_atom_site_fract_z
_atom_site_occupancy
Sc1 0.000 0.000 0.500 1
Si1 0.000 0.000 0.000 1
Ir1 0.500 0.500 0.500 1

Record 4
# Sc4SiIr2, relaxed, DFT GGA-PBE
# * energy relative to the elements, uncorrected: -797 meV/atom
# * N(E_F): 9.36 states/eV per cell
data_Sc4SiIr2
_chemical_formula_sum 'Sc12 Si3 Ir6'
_symmetry_space_group_name_H-M 'R -3 m'
_symmetry_Int_Tables_number 166
_symmetry_space_group_name_Hall '-R 3 2"'
_cell_length_a 4.5508
_cell_length_b 4.5508
_cell_length_c 22.2513
_cell_angle_alpha 90.00
_cell_angle_beta 90.00
_cell_angle_gamma 120.00
loop_
_atom_site_label
_atom_site_fract_x
_atom_site_fract_y
_atom_site_fract_z
_atom_site_occupancy
Sc1 0.0000 0.0000 0.1181 1
Sc2 0.0000 0.0000 0.3708 1
Si1 0.0000 0.0000 0.5000 1
Ir1 0.0000 0.0000 0.2469 1

Record 5
# ScSi2Ir, relaxed, DFT GGA-PBE
# * energy relative to the elements, uncorrected: -371 meV/atom
data_ScSi2Ir
_chemical_formula_sum 'Sc4 Si8 Ir4'
_symmetry_space_group_name_H-M 'F -4 3 m'
_symmetry_Int_Tables_number 216
_symmetry_space_group_name_Hall 'F -4 2 3'
_cell_length_a 6.299
_cell_length_b 6.299
_cell_length_c 6.299
_cell_angle_alpha 90.00
_cell_angle_beta 90.00
_cell_angle_gamma 90.00
loop_
_atom_site_label
_atom_site_fract_x
_atom_site_fract_y
_atom_site_fract_z
_atom_site_occupancy
Sc1 0.000 0.000 0.000 1
Si1 0.000 0.000 0.500 1
Si2 0.250 0.250 0.250 1
Ir1 0.250 0.250 0.750 1

Record 6
# ScSi2Ir2, relaxed, DFT GGA-PBE
# * energy relative to the elements, uncorrected: -654 meV/atom
# * N(E_F): 5.20 states/eV per cell
data_ScSi2Ir2
_chemical_formula_sum 'Sc2 Si4 Ir4'
_symmetry_space_group_name_H-M 'P 4/m b m'
_symmetry_Int_Tables_number 127
_symmetry_space_group_name_Hall '-P 4 2ab'
_cell_length_a 7.283
_cell_length_b 7.283
_cell_length_c 2.786
_cell_angle_alpha 90.00
_cell_angle_beta 90.00
_cell_angle_gamma 90.00
loop_
_atom_site_label
_atom_site_fract_x
_atom_site_fract_y
_atom_site_fract_z
_atom_site_occupancy
Sc1 0.000 0.000 0.000 1
Si1 0.147 0.353 0.000 1
Ir1 0.147 0.647 0.500 1

Record 7
# Sc2Si3Ir, relaxed, DFT GGA-PBE
# * energy relative to the elements, uncorrected: -814 meV/atom
# * N(E_F): 6.06 states/eV per cell
data_Sc2Si3Ir
_chemical_formula_sum 'Sc4 Si6 Ir2'
_symmetry_space_group_name_H-M 'C 1 m 1'
_symmetry_Int_Tables_number 8
_symmetry_space_group_name_Hall 'C -2y'
_cell_length_a 9.618
_cell_length_b 4.138
_cell_length_c 6.464
_cell_angle_alpha 90.00
_cell_angle_beta 130.18
_cell_angle_gamma 90.00
loop_
_atom_site_label
_atom_site_fract_x
_atom_site_fract_y
_atom_site_fract_z
_atom_site_occupancy
Sc1 0.000 0.000 0.000 1
Sc2 0.112 0.000 0.609 1
Si1 0.224 0.500 0.414 1
Si2 0.392 0.000 0.214 1
Si3 0.419 0.000 0.642 1
Ir1 0.229 0.500 0.040 1

Record 8
# Sc3Si3Ir, relaxed, DFT GGA-PBE
# * energy relative to the elements, uncorrected: -984 meV/atom
# * energy relative to the lowest polymorph listed for this composition: 0 meV per atom
# * N(E_F): 12.71 states/eV per cell
data_Sc3Si3Ir
_chemical_formula_sum 'Sc12 Si12 Ir4'
_symmetry_space_group_name_H-M 'P n m a'
_symmetry_Int_Tables_number 62
_symmetry_space_group_name_Hall '-P 2ac 2n'
_cell_length_a 11.651
_cell_length_b 4.037
_cell_length_c 10.207
_cell_angle_alpha 90.00
_cell_angle_beta 90.00
_cell_angle_gamma 90.00
loop_
_atom_site_label
_atom_site_fract_x
_atom_site_fract_y
_atom_site_fract_z
_atom_site_occupancy
Sc1 0.020 0.250 0.123 1
Sc2 0.102 0.250 0.420 1
Sc3 0.200 0.750 0.658 1
Si1 0.045 0.250 0.693 1
Si2 0.158 0.750 0.249 1
Si3 0.178 0.750 0.014 1
Ir1 0.177 0.250 0.889 1

Number 1: magnetization 0.00 μB/f.u.. Number 2: magnetization 0.00 μB/f.u.. Number 3: magnetization 0.00 μB/f.u.. Number 4: magnetization 0.00 μB/f.u.. Number 5: magnetization 0.00 μB/f.u.. Number 6: magnetization 0.43 μB/f.u.. Number 7: magnetization 0.00 μB/f.u.. Number 8: magnetization 0.00 μB/f.u..